--- i ---
# V3GeAs GGA-PBE optimized geometry
# * N(E_F): 1.7601 states/eV per atom
data_V3GeAs
_cell_length_a 4.583
_cell_length_b 4.583
_cell_length_c 4.583
_cell_angle_alpha 90.00
_cell_angle_beta 90.00
_cell_angle_gamma 90.00
_symmetry_space_group_name_H-M 'P m -3 m'
_symmetry_Int_Tables_number 221
_symmetry_space_group_name_Hall '-P 4 2 3'
loop_
_atom_site_label
_atom_site_fract_x
_atom_site_fract_y
_atom_site_fract_z
_atom_site_occupancy
V1 0.000 0.000 0.500 1
Ge1 0.500 0.500 0.500 1
As1 0.000 0.000 0.000 1

---

--- ii ---
# V3GeAs GGA-PBE optimized geometry
# * N(E_F): 0.9077 states/eV per atom
data_V3GeAs
_cell_length_a 13.308
_cell_length_b 4.834
_cell_length_c 9.010
_cell_angle_alpha 90.00
_cell_angle_beta 101.47
_cell_angle_gamma 90.00
_symmetry_space_group_name_H-M 'C 1 2/c 1'
_symmetry_Int_Tables_number 15
loop_
_symmetry_equiv_pos_as_xyz
'x,y,z'
'-x,-y,-z'
'-x,y,-z+1/2'
'x,-y,z+1/2'
'x+1/2,y+1/2,z'
'-x+1/2,-y+1/2,-z'
'-x+1/2,y+1/2,-z+1/2'
'x+1/2,-y+1/2,z+1/2'
loop_
_atom_site_label
_atom_site_fract_x
_atom_site_fract_y
_atom_site_fract_z
_atom_site_occupancy
V1 0.059 0.244 0.027 1
V2 0.093 0.497 0.780 1
V3 0.204 0.037 0.276 1
Ge1 0.141 0.254 0.535 1
As1 0.000 0.006 0.750 1
As2 0.250 0.250 0.000 1

---

Name the least stable of them. i.

---

--- i ---
# VGeAs3 GGA-PBE optimized geometry
# * N(E_F): 1.4189 states/eV per atom
data_VGeAs3
_cell_length_a 4.876
_cell_length_b 4.876
_cell_length_c 4.876
_cell_angle_alpha 90.00
_cell_angle_beta 90.00
_cell_angle_gamma 90.00
_symmetry_space_group_name_H-M 'P m -3 m'
_symmetry_Int_Tables_number 221
_symmetry_space_group_name_Hall '-P 4 2 3'
loop_
_atom_site_label
_atom_site_fract_x
_atom_site_fract_y
_atom_site_fract_z
_atom_site_occupancy
V1 0.000 0.000 0.000 1
Ge1 0.500 0.500 0.500 1
As1 0.000 0.500 0.500 1

---

--- ii ---
# VGeAs3 GGA-PBE optimized geometry
# * N(E_F): 0.9320 states/eV per atom
data_VGeAs3
_cell_length_a 4.759
_cell_length_b 4.759
_cell_length_c 4.759
_cell_angle_alpha 90.00
_cell_angle_beta 90.00
_cell_angle_gamma 90.00
_symmetry_space_group_name_H-M 'P m -3 m'
_symmetry_Int_Tables_number 221
_symmetry_space_group_name_Hall '-P 4 2 3'
loop_
_atom_site_label
_atom_site_fract_x
_atom_site_fract_y
_atom_site_fract_z
_atom_site_occupancy
V1 0.000 0.000 0.000 1
Ge1 0.500 0.500 0.500 1
As1 0.000 0.000 0.500 1

---

Name the least stable of them. i.

---

--- i ---
# Zn2GeAs GGA-PBE optimized geometry
# * N(E_F): 0.4630 states/eV per atom
data_Zn2GeAs
_cell_length_a 6.215
_cell_length_b 6.215
_cell_length_c 9.409
_cell_angle_alpha 90.00
_cell_angle_beta 90.00
_cell_angle_gamma 90.00
_symmetry_space_group_name_H-M 'I -4 2 d'
_symmetry_Int_Tables_number 122
_symmetry_space_group_name_Hall 'I -4 2bw'
loop_
_atom_site_label
_atom_site_fract_x
_atom_site_fract_y
_atom_site_fract_z
_atom_site_occupancy
Zn1 0.235 0.250 0.125 1
Ge1 0.000 0.000 0.500 1
As1 0.000 0.000 0.000 1

---

--- ii ---
# Zn2GeAs GGA-PBE optimized geometry
# * N(E_F): 0.3514 states/eV per atom
data_Zn2GeAs
_cell_length_a 6.585
_cell_length_b 6.585
_cell_length_c 6.585
_cell_angle_alpha 90.00
_cell_angle_beta 90.00
_cell_angle_gamma 90.00
_symmetry_space_group_name_H-M 'F m -3 m'
_symmetry_Int_Tables_number 225
_symmetry_space_group_name_Hall '-F 4 2 3'
loop_
_atom_site_label
_atom_site_fract_x
_atom_site_fract_y
_atom_site_fract_z
_atom_site_occupancy
Zn1 0.250 0.250 0.250 1
Ge1 0.000 0.000 0.000 1
As1 0.000 0.000 0.500 1

---

Name the least stable of them. ii.

---

--- i ---
# Zn2Ge2As GGA-PBE optimized geometry
# * N(E_F): 0.5450 states/eV per atom
data_Zn2Ge2As
_cell_length_a 4.208
_cell_length_b 4.208
_cell_length_c 10.854
_cell_angle_alpha 90.00
_cell_angle_beta 90.00
_cell_angle_gamma 90.00
_symmetry_space_group_name_H-M 'I 4/m m m'
_symmetry_Int_Tables_number 139
_symmetry_space_group_name_Hall '-I 4 2'
loop_
_atom_site_label
_atom_site_fract_x
_atom_site_fract_y
_atom_site_fract_z
_atom_site_occupancy
Zn1 0.000 0.500 0.250 1
Ge1 0.000 0.000 0.110 1
As1 0.000 0.000 0.500 1

---

--- ii ---
# Zn2Ge2As GGA-PBE optimized geometry
# * N(E_F): 0.5407 states/eV per atom
data_Zn2Ge2As
_cell_length_a 7.804
_cell_length_b 7.804
_cell_length_c 3.031
_cell_angle_alpha 90.00
_cell_angle_beta 90.00
_cell_angle_gamma 90.00
_symmetry_space_group_name_H-M 'P 4/m b m'
_symmetry_Int_Tables_number 127
_symmetry_space_group_name_Hall '-P 4 2ab'
loop_
_atom_site_label
_atom_site_fract_x
_atom_site_fract_y
_atom_site_fract_z
_atom_site_occupancy
Zn1 0.116 0.384 0.000 1
Ge1 0.188 0.688 0.500 1
As1 0.000 0.000 0.500 1

---

--- iii ---
# Zn2Ge2As GGA-PBE optimized geometry
# * N(E_F): 0.3691 states/eV per atom
data_Zn2Ge2As
_cell_length_a 6.974
_cell_length_b 6.974
_cell_length_c 3.815
_cell_angle_alpha 90.00
_cell_angle_beta 90.00
_cell_angle_gamma 90.00
_symmetry_space_group_name_H-M 'P 4/m b m'
_symmetry_Int_Tables_number 127
_symmetry_space_group_name_Hall '-P 4 2ab'
loop_
_atom_site_label
_atom_site_fract_x
_atom_site_fract_y
_atom_site_fract_z
_atom_site_occupancy
Zn1 0.130 0.370 0.000 1
Ge1 0.176 0.676 0.500 1
As1 0.000 0.000 0.000 1

---

Name the least stable of them. i.

---

--- i ---
# ZnGe2As GGA-PBE optimized geometry
# * N(E_F): 0.4978 states/eV per atom
data_ZnGe2As
_cell_length_a 6.710
_cell_length_b 6.710
_cell_length_c 6.710
_cell_angle_alpha 90.00
_cell_angle_beta 90.00
_cell_angle_gamma 90.00
_symmetry_space_group_name_H-M 'F m -3 m'
_symmetry_Int_Tables_number 225
_symmetry_space_group_name_Hall '-F 4 2 3'
loop_
_atom_site_label
_atom_site_fract_x
_atom_site_fract_y
_atom_site_fract_z
_atom_site_occupancy
Zn1 0.000 0.000 0.000 1
Ge1 0.250 0.250 0.250 1
As1 0.000 0.000 0.500 1

---

--- ii ---
# ZnGe2As GGA-PBE optimized geometry
# * N(E_F): 0.3696 states/eV per atom
data_ZnGe2As
_cell_length_a 5.860
_cell_length_b 5.860
_cell_length_c 11.216
_cell_angle_alpha 90.00
_cell_angle_beta 90.00
_cell_angle_gamma 90.00
_symmetry_space_group_name_H-M 'I -4 2 d'
_symmetry_Int_Tables_number 122
_symmetry_space_group_name_Hall 'I -4 2bw'
loop_
_atom_site_label
_atom_site_fract_x
_atom_site_fract_y
_atom_site_fract_z
_atom_site_occupancy
Zn1 0.000 0.000 0.000 1
Ge1 0.245 0.250 0.125 1
As1 0.000 0.000 0.500 1

---

Name the least stable of them. i.

---

--- i ---
# ZnGe2As2 GGA-PBE optimized geometry
# * N(E_F): 0.5288 states/eV per atom
data_ZnGe2As2
_cell_length_a 7.422
_cell_length_b 7.422
_cell_length_c 3.622
_cell_angle_alpha 90.00
_cell_angle_beta 90.00
_cell_angle_gamma 90.00
_symmetry_space_group_name_H-M 'P 4/m b m'
_symmetry_Int_Tables_number 127
_symmetry_space_group_name_Hall '-P 4 2ab'
loop_
_atom_site_label
_atom_site_fract_x
_atom_site_fract_y
_atom_site_fract_z
_atom_site_occupancy
Zn1 0.000 0.000 0.000 1
Ge1 0.144 0.356 0.500 1
As1 0.173 0.673 0.000 1

---

--- ii ---
# ZnGe2As2 GGA-PBE optimized geometry
# * N(E_F): 0.3689 states/eV per atom
data_ZnGe2As2
_cell_length_a 7.563
_cell_length_b 7.563
_cell_length_c 3.456
_cell_angle_alpha 90.00
_cell_angle_beta 90.00
_cell_angle_gamma 90.00
_symmetry_space_group_name_H-M 'P 4/m b m'
_symmetry_Int_Tables_number 127
_symmetry_space_group_name_Hall '-P 4 2ab'
loop_
_atom_site_label
_atom_site_fract_x
_atom_site_fract_y
_atom_site_fract_z
_atom_site_occupancy
Zn1 0.000 0.000 0.000 1
Ge1 0.144 0.356 0.000 1
As1 0.152 0.652 0.500 1

---

Name the least stable of them. ii.

---

--- i ---
# Zr2GeAs2 GGA-PBE optimized geometry
# * N(E_F): 0.6035 states/eV per atom
data_Zr2GeAs2
_cell_length_a 7.420
_cell_length_b 7.420
_cell_length_c 3.624
_cell_angle_alpha 90.00
_cell_angle_beta 90.00
_cell_angle_gamma 90.00
_symmetry_space_group_name_H-M 'P 4/m b m'
_symmetry_Int_Tables_number 127
_symmetry_space_group_name_Hall '-P 4 2ab'
loop_
_atom_site_label
_atom_site_fract_x
_atom_site_fract_y
_atom_site_fract_z
_atom_site_occupancy
Zr1 0.157 0.343 0.000 1
Ge1 0.000 0.000 0.000 1
As1 0.142 0.642 0.500 1

---

--- ii ---
# Zr2GeAs2 GGA-PBE optimized geometry
# * N(E_F): 0.8768 states/eV per atom
data_Zr2GeAs2
_cell_length_a 7.472
_cell_length_b 7.472
_cell_length_c 3.550
_cell_angle_alpha 90.00
_cell_angle_beta 90.00
_cell_angle_gamma 90.00
_symmetry_space_group_name_H-M 'P 4/m b m'
_symmetry_Int_Tables_number 127
_symmetry_space_group_name_Hall '-P 4 2ab'
loop_
_atom_site_label
_atom_site_fract_x
_atom_site_fract_y
_atom_site_fract_z
_atom_site_occupancy
Zr1 0.152 0.348 0.000 1
Ge1 0.000 0.000 0.500 1
As1 0.143 0.643 0.500 1

---

Name the least stable of them. ii.

---

--- i ---
# Zr2GeAs GGA-PBE optimized geometry
# * N(E_F): 0.7621 states/eV per atom
data_Zr2GeAs
_cell_length_a 6.095
_cell_length_b 6.095
_cell_length_c 12.234
_cell_angle_alpha 90.00
_cell_angle_beta 90.00
_cell_angle_gamma 90.00
_symmetry_space_group_name_H-M 'I -4 2 d'
_symmetry_Int_Tables_number 122
_symmetry_space_group_name_Hall 'I -4 2bw'
loop_
_atom_site_label
_atom_site_fract_x
_atom_site_fract_y
_atom_site_fract_z
_atom_site_occupancy
Zr1 0.249 0.250 0.125 1
Ge1 0.000 0.000 0.000 1
As1 0.000 0.000 0.500 1

---

--- ii ---
# Zr2GeAs GGA-PBE optimized geometry
# * N(E_F): 0.8406 states/eV per atom
data_Zr2GeAs
_cell_length_a 6.754
_cell_length_b 6.754
_cell_length_c 6.754
_cell_angle_alpha 90.00
_cell_angle_beta 90.00
_cell_angle_gamma 90.00
_symmetry_space_group_name_H-M 'F m -3 m'
_symmetry_Int_Tables_number 225
_symmetry_space_group_name_Hall '-F 4 2 3'
loop_
_atom_site_label
_atom_site_fract_x
_atom_site_fract_y
_atom_site_fract_z
_atom_site_occupancy
Zr1 0.250 0.250 0.250 1
Ge1 0.000 0.000 0.000 1
As1 0.000 0.000 0.500 1

---

Name the least stable of them. i.

---

--- i ---
# Zr2GeAs GGA-PBE optimized geometry
# * N(E_F): 0.7482 states/eV per atom
data_Zr2GeAs
_cell_length_a 3.8146
_cell_length_b 3.8146
_cell_length_c 19.9240
_cell_angle_alpha 90.00
_cell_angle_beta 90.00
_cell_angle_gamma 120.00
_symmetry_space_group_name_H-M 'R 3 m'
_symmetry_Int_Tables_number 160
_symmetry_space_group_name_Hall 'R 3 -2"'
loop_
_atom_site_label
_atom_site_fract_x
_atom_site_fract_y
_atom_site_fract_z
_atom_site_occupancy
Zr1 0.0000 0.0000 0.0000 1
Zr2 0.0000 0.0000 0.1748 1
Ge1 0.0000 0.0000 0.5892 1
As1 0.0000 0.0000 0.4204 1

---

--- ii ---
# Zr2GeAs GGA-PBE optimized geometry
# * N(E_F): 0.3893 states/eV per atom
data_Zr2GeAs
_cell_length_a 3.8723
_cell_length_b 3.8723
_cell_length_c 19.0478
_cell_angle_alpha 90.00
_cell_angle_beta 90.00
_cell_angle_gamma 120.00
_symmetry_space_group_name_H-M 'R -3 m'
_symmetry_Int_Tables_number 166
_symmetry_space_group_name_Hall '-R 3 2"'
loop_
_atom_site_label
_atom_site_fract_x
_atom_site_fract_y
_atom_site_fract_z
_atom_site_occupancy
Zr1 0.0000 0.0000 0.2492 1
Ge1 0.0000 0.0000 0.5000 1
As1 0.0000 0.0000 0.0000 1

---

Name the least stable of them. i.

---

--- i ---
# Zr4GeAs GGA-PBE optimized geometry
# * N(E_F): 0.6454 states/eV per atom
data_Zr4GeAs
_cell_length_a 8.736
_cell_length_b 8.736
_cell_length_c 7.719
_cell_angle_alpha 90.00
_cell_angle_beta 90.00
_cell_angle_gamma 90.00
_symmetry_space_group_name_H-M 'I 41 m d'
_symmetry_Int_Tables_number 109
_symmetry_space_group_name_Hall 'I 4bw -2'
loop_
_atom_site_label
_atom_site_fract_x
_atom_site_fract_y
_atom_site_fract_z
_atom_site_occupancy
Zr1 0.000 0.296 0.000 1
Zr2 0.000 0.297 0.497 1
Ge1 0.000 0.000 0.500 1
As1 0.000 0.000 0.997 1

---

--- ii ---
# Zr4GeAs GGA-PBE optimized geometry
# * N(E_F): 0.4413 states/eV per atom
data_Zr4GeAs
_cell_length_a 6.635
_cell_length_b 6.635
_cell_length_c 5.479
_cell_angle_alpha 90.00
_cell_angle_beta 90.00
_cell_angle_gamma 90.00
_symmetry_space_group_name_H-M 'P 4/m c c'
_symmetry_Int_Tables_number 124
_symmetry_space_group_name_Hall '-P 4 2c'
loop_
_atom_site_label
_atom_site_fract_x
_atom_site_fract_y
_atom_site_fract_z
_atom_site_occupancy
Zr1 0.157 0.343 0.000 1
Ge1 0.000 0.000 0.250 1
As1 0.500 0.500 0.250 1

---

Name the least stable of them. i.

---

--- i ---
# HfAsH GGA-PBE optimized geometry
# * N(E_F): 0.0301 states/eV per atom
data_HfAsH
_cell_length_a 3.5756
_cell_length_b 3.5756
_cell_length_c 7.4218
_cell_angle_alpha 90.00
_cell_angle_beta 90.00
_cell_angle_gamma 120.00
_symmetry_space_group_name_H-M 'P 63/m m c'
_symmetry_Int_Tables_number 194
_symmetry_space_group_name_Hall '-P 6c 2c'
loop_
_atom_site_label
_atom_site_fract_x
_atom_site_fract_y
_atom_site_fract_z
_atom_site_occupancy
Hf1 0.3333 0.6667 0.2500 1
As1 0.0000 0.0000 0.0000 1
H1 0.3333 0.6667 0.7500 1

---

--- ii ---
# HfAsH GGA-PBE optimized geometry
# * N(E_F): 0.3423 states/eV per atom
data_HfAsH
_cell_length_a 9.441
_cell_length_b 3.745
_cell_length_c 5.285
_cell_angle_alpha 90.00
_cell_angle_beta 94.48
_cell_angle_gamma 90.00
_symmetry_space_group_name_H-M 'C 1 2/m 1'
_symmetry_Int_Tables_number 12
loop_
_symmetry_equiv_pos_as_xyz
'x,y,z'
'-x,-y,-z'
'-x,y,-z'
'x,-y,z'
'x+1/2,y+1/2,z'
'-x+1/2,-y+1/2,-z'
'-x+1/2,y+1/2,-z'
'x+1/2,-y+1/2,z'
loop_
_atom_site_label
_atom_site_fract_x
_atom_site_fract_y
_atom_site_fract_z
_atom_site_occupancy
Hf1 0.203 0.000 0.273 1
As1 0.091 0.000 0.779 1
H1 0.153 0.500 0.415 1

---

Name the least stable of them. ii.